[1]
## ScCu2O4 (PBE)

Data for an optimized crystal structure of ScCu2O4.

```
data_ScCu2O4
_space_group_name_H-M_alt 'I 41/a m d'
_space_group_IT_number 141
_cell_length_a 5.6029
_cell_length_b 5.6029
_cell_length_c 11.2701
_cell_angle_alpha 90.00
_cell_angle_beta 90.00
_cell_angle_gamma 90.00
loop_
_space_group_symop_operation_xyz
'x,y,z'
'-x,-y,-z'
'-y+1/4,x+3/4,z+1/4'
'y+1/4,-x+3/4,-z+1/4'
'-x+1/2,-y,z+1/2'
'x+1/2,y,-z+1/2'
'y+1/4,-x+1/4,z+3/4'
'-y+1/4,x+1/4,-z+3/4'
'x,-y,-z'
'-x,y,z'
'-y+1/4,-x+1/4,-z+3/4'
'y+1/4,x+1/4,z+3/4'
'-x+1/2,y,-z+1/2'
'x+1/2,-y,z+1/2'
'y+1/4,x+3/4,-z+1/4'
'-y+1/4,-x+3/4,z+1/4'
'x+1/2,y+1/2,z+1/2'
'-x+1/2,-y+1/2,-z+1/2'
'-y+3/4,x+1/4,z+3/4'
'y+3/4,-x+1/4,-z+3/4'
'-x,-y+1/2,z'
'x,y+1/2,-z'
'y+3/4,-x+3/4,z+1/4'
'-y+3/4,x+3/4,-z+1/4'
'x+1/2,-y+1/2,-z+1/2'
'-x+1/2,y+1/2,z+1/2'
'-y+3/4,-x+3/4,-z+1/4'
'y+3/4,x+3/4,z+1/4'
'-x,y+1/2,-z'
'x,-y+1/2,z'
'y+3/4,x+1/4,-z+3/4'
'-y+3/4,-x+1/4,z+3/4'
loop_
_atom_site_label
_atom_site_type_symbol
_atom_site_fract_x
_atom_site_fract_y
_atom_site_fract_z
Sc1 Sc 0.0000 0.2500 0.3750
Cu1 Cu 0.0000 0.0000 0.0000
O1 O 0.0000 0.0234 0.7404
```

Summary:
**DOS(E_F)**: 13.28 states/eV per cell
**Formation energy without anion corrections**: -1473 meV/atom
**V**: 12.6 Å³ per atom
**Energy above the lowest structure with this stoichiometry**: 0.104 eV/atom

---

[2]
## PmCd3Ni (PBE)

Data for an optimized crystal structure of PmCd3Ni.

```
data_PmCd3Ni
_space_group_name_H-M_alt 'I -4 m 2'
_space_group_IT_number 119
_space_group_name_Hall 'I -4 -2'
_cell_length_a 5.4186
_cell_length_b 5.4186
_cell_length_c 17.7526
_cell_angle_alpha 90.00
_cell_angle_beta 90.00
_cell_angle_gamma 90.00
loop_
_atom_site_label
_atom_site_type_symbol
_atom_site_fract_x
_atom_site_fract_y
_atom_site_fract_z
Pm1 Pm 0.0000 0.0000 0.2006
Cd1 Cd 0.0000 0.2475 0.6228
Cd2 Cd 0.0000 0.5000 0.0391
Ni1 Ni 0.0000 0.0000 0.5000
Ni2 Ni 0.0000 0.5000 0.7500
```

Summary:
**DOS(E_F)**: 13.29 states/eV per cell
**Calculated formation energy**: 0.00 eV/atom
**V**: 26.1 Å³ per atom
**Energy above the lowest structure with this stoichiometry**: 0.249 eV/atom

---

[3]
## SmYTe2 (PBE)

Data for an optimized crystal structure of SmYTe2.

```
data_SmYTe2
_space_group_name_H-M_alt 'R -3 m'
_space_group_IT_number 166
_space_group_name_Hall '-R 3 2"'
_cell_length_a 4.4060
_cell_length_b 4.4060
_cell_length_c 21.5716
_cell_angle_alpha 90.00
_cell_angle_beta 90.00
_cell_angle_gamma 120.00
loop_
_atom_site_label
_atom_site_type_symbol
_atom_site_fract_x
_atom_site_fract_y
_atom_site_fract_z
Sm1 Sm 0.0000 0.0000 0.0000
Y1 Y 0.0000 0.0000 0.5000
Te1 Te 0.0000 0.0000 0.2477
```

Summary:
**DOS(E_F)**: 7.00 states/eV per cell
**Formation energy without anion corrections**: -1348 meV/atom
**V**: 30.2 Å³ per atom
**Energy above the lowest structure with this stoichiometry**: 0.026 eV/atom

---

[4]
## La3Ge5O12 (PBE)

Data for an optimized crystal structure of La3Ge5O12.

```
data_La3Ge5O12
_space_group_name_H-M_alt 'I a -3 d'
_space_group_IT_number 230
_space_group_name_Hall '-I 4bd 2c 3'
_cell_length_a 13.2005
_cell_length_b 13.2005
_cell_length_c 13.2005
_cell_angle_alpha 90.00
_cell_angle_beta 90.00
_cell_angle_gamma 90.00
loop_
_atom_site_label
_atom_site_type_symbol
_atom_site_fract_x
_atom_site_fract_y
_atom_site_fract_z
La1 La 0.0000 0.2500 0.1250
Ge1 Ge 0.0000 0.0000 0.0000
Ge2 Ge 0.0000 0.2500 0.3750
O1 O 0.0363 0.0584 0.6634
```

Summary:
**DOS(E_F)**: 20.40 states/eV per cell
**Formation energy without anion corrections**: -2141 meV/atom
**V**: 14.4 Å³ per atom

---

[5]
## HfMgCoRu (PBE)

Data for an optimized crystal structure of HfMgCoRu.

```
data_HfMgCoRu
_space_group_name_H-M_alt 'F -4 3 m'
_space_group_IT_number 216
_space_group_name_Hall 'F -4 2 3'
_cell_length_a 6.2570
_cell_length_b 6.2570
_cell_length_c 6.2570
_cell_angle_alpha 90.00
_cell_angle_beta 90.00
_cell_angle_gamma 90.00
loop_
_atom_site_label
_atom_site_type_symbol
_atom_site_fract_x
_atom_site_fract_y
_atom_site_fract_z
Hf1 Hf 0.0000 0.0000 0.0000
Mg1 Mg 0.0000 0.0000 0.5000
Co1 Co 0.2500 0.2500 0.2500
Ru1 Ru 0.2500 0.2500 0.7500
```

Summary:
**DOS(E_F)**: 12.43 states/eV per cell
**Calculated formation energy**: -0.31 eV/atom
**V**: 15.3 Å³ per atom

---

[6]
## LaHo12Tm6 (PBE)

Data for an optimized crystal structure of LaHo12Tm6.

```
data_LaHo12Tm6
_space_group_name_H-M_alt 'R -3 m'
_space_group_IT_number 166
_space_group_name_Hall '-R 3 2"'
_cell_length_a 14.8548
_cell_length_b 14.8548
_cell_length_c 10.1014
_cell_angle_alpha 90.00
_cell_angle_beta 90.00
_cell_angle_gamma 120.00
loop_
_atom_site_label
_atom_site_type_symbol
_atom_site_fract_x
_atom_site_fract_y
_atom_site_fract_z
La1 La 0.0000 0.0000 0.0000
Ho1 Ho 0.0000 0.3886 0.5000
Ho2 Ho 0.0736 0.1472 0.2980
Tm1 Tm 0.0517 0.5258 0.2174
```

Summary:
**DOS(E_F)**: 71.83 states/eV per cell
**Calculated formation energy**: 0.42 eV/atom
**V**: 33.9 Å³ per atom
**Energy above the lowest structure with this stoichiometry**: 0.266 eV/atom

---

> What is the DOS(E_F) in the fifth record?

12.43 states/eV per cell